Entry 1:
Computed, not measured: a geometry-optimized ZrScReNi structure at the PBE level of DFT.

a = 4.5850 Å, b = 4.5850 Å, c = 4.5850 Å
α = 60.00°, β = 60.00°, γ = 60.00°
Fractional coordinates of all 4 atoms:
1 Zr 0.0000 0.0000 0.0000
2 Sc 0.5000 0.5000 0.5000
3 Re 0.7500 0.7500 0.7500
4 Ni 0.2500 0.2500 0.2500

Formation energy   -290 meV/atom
Calculated volume   17.0 A^3/atom
SG   No. 216
DFT total energy   -8.568 eV/atom

=====

Entry 2:
Computed, not measured: a geometry-optimized Re2NiSe structure at the PBE level of DFT.

a = 3.7300 Å, b = 3.7300 Å, c = 4.2527 Å
α = 90.00°, β = 90.00°, γ = 90.00°
Fractional coordinates of all 4 atoms:
1 Re 0.0000 0.5000 0.0000
2 Re 0.5000 0.0000 0.0000
3 Ni 0.0000 0.0000 0.5000
4 Se 0.5000 0.5000 0.5000

Formation energy from raw total energies   0.776 eV per atom
Calculated volume   14.8 A^3/atom
SG   No. 123
DFT total energy   -7.765 eV/atom

=====

Entry 3:
Computed, not measured: a geometry-optimized Re2NiSe structure at the PBE level of DFT.

a = 4.6240 Å, b = 4.6240 Å, c = 4.6151 Å
α = 93.43°, β = 93.43°, γ = 36.65°
Fractional coordinates of all 4 atoms:
1 Re 0.0000 0.0000 0.0000
2 Re 0.7369 0.7369 0.2275
3 Ni 0.2662 0.2662 0.7434
4 Se 0.5049 0.5049 0.5553

Formation energy from raw total energies   0.416 eV per atom
Calculated volume   14.7 A^3/atom
SG   No. 8
DFT total energy   -8.125 eV/atom

=====

Entry 4:
Computed, not measured: a geometry-optimized ReNiSe2 structure at the PBE level of DFT.

a = 3.1147 Å, b = 3.1147 Å, c = 7.9597 Å
α = 90.00°, β = 90.00°, γ = 121.62°
Fractional coordinates of all 4 atoms:
1 Re 0.0000 0.0000 0.0000
2 Ni 0.0000 0.0000 0.5000
3 Se 0.5000 0.5000 0.2569
4 Se 0.5000 0.5000 0.7431

Formation energy from raw total energies   0.671 eV per atom
Calculated volume   16.4 A^3/atom
SG   No. 65
DFT total energy   -5.629 eV/atom

=====

Entry 5:
Computed, not measured: a geometry-optimized Re2NiSe structure at the PBE level of DFT.

a = 5.0464 Å, b = 5.0464 Å, c = 5.0464 Å
α = 145.19°, β = 129.01°, γ = 63.22°
Fractional coordinates of all 4 atoms:
1 Re 0.0000 0.0000 0.0000
2 Re 0.7298 0.2298 0.5000
3 Ni 0.4659 0.4659 0.0000
4 Se 0.2405 0.7405 0.5000

Formation energy from raw total energies   0.465 eV per atom
Calculated volume   14.1 A^3/atom
SG   No. 44
DFT total energy   -8.076 eV/atom

=====

Entry 6:
Computed, not measured: a geometry-optimized ReNiSe2 structure at the PBE level of DFT.

a = 4.4635 Å, b = 4.4635 Å, c = 4.4635 Å
α = 60.00°, β = 60.00°, γ = 60.00°
Fractional coordinates of all 4 atoms:
1 Re 0.0000 0.0000 0.0000
2 Ni 0.2500 0.2500 0.2500
3 Se 0.5000 0.5000 0.5000
4 Se 0.7500 0.7500 0.7500

Formation energy from raw total energies   0.941 eV per atom
Calculated volume   15.7 A^3/atom
SG   No. 216
DFT total energy   -5.358 eV/atom

=====

Entry 7:
Computed, not measured: a geometry-optimized Re2NiSe structure at the PBE level of DFT.

a = 6.2720 Å, b = 6.2720 Å, c = 6.2720 Å
α = 150.89°, β = 149.86°, γ = 42.40°
Fractional coordinates of all 4 atoms:
1 Re 0.1916 0.1916 0.0000
2 Re 0.8084 0.8084 0.0000
3 Ni 0.0000 0.5000 0.5000
4 Se 0.5000 0.0000 0.5000

Formation energy from raw total energies   0.349 eV per atom
Calculated volume   15.0 A^3/atom
SG   No. 71
DFT total energy   -8.191 eV/atom

=====

Entry 8:
Computed, not measured: a geometry-optimized Re2NiSe structure at the PBE level of DFT.

a = 2.9862 Å, b = 3.6228 Å, c = 5.7262 Å
α = 90.00°, β = 102.55°, γ = 90.00°
Fractional coordinates of all 4 atoms:
1 Re 0.0000 0.0000 0.0000
2 Re 0.4917 0.5000 0.7819
3 Ni 0.8486 0.0000 0.5164
4 Se 0.2605 0.5000 0.3445

Formation energy from raw total energies   0.327 eV per atom
Calculated volume   15.1 A^3/atom
SG   No. 6
DFT total energy   -8.214 eV/atom

=====

Entry 9:
Computed, not measured: a geometry-optimized ReNiSe2 structure at the PBE level of DFT.

a = 3.1348 Å, b = 3.1348 Å, c = 7.7307 Å
α = 90.00°, β = 90.00°, γ = 90.00°
Fractional coordinates of all 4 atoms:
1 Re 0.0000 0.0000 0.0000
2 Ni 0.5000 0.5000 0.7949
3 Se 0.0000 0.0000 0.6713
4 Se 0.5000 0.5000 0.1831

Formation energy from raw total energies   0.044 eV per atom
Calculated volume   19.0 A^3/atom
SG   No. 99
DFT total energy   -6.256 eV/atom

=====

Entry 10:
Computed, not measured: a geometry-optimized ReNiSe2 structure at the PBE level of DFT.

a = 3.0373 Å, b = 3.9866 Å, c = 5.4021 Å
α = 90.00°, β = 90.00°, γ = 90.00°
Fractional coordinates of all 4 atoms:
1 Re 0.0000 0.0000 0.0000
2 Ni 0.5000 0.0000 0.5000
3 Se 0.0000 0.5000 0.5000
4 Se 0.5000 0.5000 0.0000

Formation energy from raw total energies   0.771 eV per atom
Calculated volume   16.4 A^3/atom
SG   No. 47
DFT total energy   -5.529 eV/atom

=====

Entry 11:
Computed, not measured: a geometry-optimized ReNiSe2 structure at the PBE level of DFT.

a = 4.4011 Å, b = 4.4011 Å, c = 4.4011 Å
α = 60.00°, β = 60.00°, γ = 60.00°
Fractional coordinates of all 4 atoms:
1 Re 0.0000 0.0000 0.0000
2 Ni 0.5000 0.5000 0.5000
3 Se 0.2500 0.2500 0.2500
4 Se 0.7500 0.7500 0.7500

Formation energy from raw total energies   0.420 eV per atom
Calculated volume   15.1 A^3/atom
SG   No. 225
DFT total energy   -5.880 eV/atom

=====

Entry 12:
Computed, not measured: a geometry-optimized ReNiSe2 structure at the PBE level of DFT.

a = 3.0989 Å, b = 3.0989 Å, c = 6.2435 Å
α = 90.00°, β = 90.00°, γ = 90.00°
Fractional coordinates of all 4 atoms:
1 Re 0.0000 0.0000 0.0000
2 Ni 0.0000 0.0000 0.5000
3 Se 0.5000 0.5000 0.2513
4 Se 0.5000 0.5000 0.7487

Formation energy from raw total energies   0.327 eV per atom
Calculated volume   15.0 A^3/atom
SG   No. 123
DFT total energy   -5.973 eV/atom